DFT (PBE) results for a relaxed structure of LiAl5Zn.

Properties
Spin magnetization = 0.00 Bohr magnetons per cell
Space group = Imm2 (44)
Energy of formation from the pure elements = 0.156 eV per atom

Cell: 5.9671 5.9671 5.9671 Å, 129.37 127.90 75.61°
With the nearest neighbours (Å) after each atom.
Fractional coordinates of all 7 atoms:
Li 0.0000 0.0000 0.0000  3 Al 2.55-2.70
Al 0.4787 0.2266 0.7479  3 Al 2.53-2.70
Al 0.4787 0.7308 0.2521  3 Al 2.53-2.70
Al 0.5033 0.2499 0.2534  6 Al 2.58-2.87, 1 Li 2.70
Al 0.7300 0.7300 0.0000  1 Li 2.55, 2 Al 2.70, 2 Zn 2.77
Al 0.9964 0.2499 0.7466  6 Al 2.58-2.87, 1 Li 2.70
Zn 0.1363 0.6363 0.5000  6 Al 2.77-3.07, 2 Li 2.86